(1)
# NaPm2Sn6, relaxed, DFT GGA-PBE
data_NaPm2Sn6
_chemical_formula_sum 'Na2 Pm4 Sn12'
_space_group_name_H-M_alt 'C 1 m 1'
_space_group_IT_number 8
_cell_length_a 14.1389
_cell_length_b 10.3645
_cell_length_c 4.3907
_cell_angle_alpha 90.00
_cell_angle_beta 107.90
_cell_angle_gamma 90.00
loop_
_space_group_symop_operation_xyz
'x,y,z'
'x,-y,z'
'x+1/2,y+1/2,z'
'x+1/2,-y+1/2,z'
loop_
_atom_site_label
_atom_site_type_symbol
_atom_site_fract_x
_atom_site_fract_y
_atom_site_fract_z
Na1 Na 0.0000 0.0000 0.0000
Pm1 Pm 0.1421 0.5000 0.6567
Pm2 Pm 0.3578 0.0000 0.3757
Sn1 Sn 0.9999 0.3523 0.0161
Sn2 Sn 0.1835 0.2075 0.2031
Sn3 Sn 0.3164 0.2925 0.8343
# E_form, eV/f.u.: -2.24
# ρ, kg/m³: 5561
# Crystal system: monoclinic
# E, eV per atom: -4.12

(2)
# Ba2NaInH, relaxed, DFT GGA-PBE
data_Ba2NaInH
_chemical_formula_sum 'Ba2 Na1 In1 H1'
_space_group_name_H-M_alt 'P 4/m m m'
_space_group_IT_number 123
_space_group_name_Hall '-P 4 2'
_cell_length_a 5.8205
_cell_length_b 5.8205
_cell_length_c 4.6933
_cell_angle_alpha 90.00
_cell_angle_beta 90.00
_cell_angle_gamma 90.00
loop_
_atom_site_label
_atom_site_type_symbol
_atom_site_fract_x
_atom_site_fract_y
_atom_site_fract_z
Ba1 Ba 0.0000 0.5000 0.0000
Na1 Na 0.0000 0.0000 0.5000
In1 In 0.5000 0.5000 0.5000
H1 H 0.0000 0.0000 0.0000
# Polymorph energy (0 for the lowest one), meV per atom: 0
# ρ, kg/m³: 4318
# Crystal system: tetragonal
# E, eV per atom: -2.57

(3)
# Mo2IrBr, relaxed, DFT GGA-PBE
data_Mo2IrBr
_chemical_formula_sum 'Mo2 Ir1 Br1'
_space_group_name_H-M_alt 'P m m m'
_space_group_IT_number 47
_cell_length_a 2.9946
_cell_length_b 4.5616
_cell_length_c 4.7733
_cell_angle_alpha 90.00
_cell_angle_beta 90.00
_cell_angle_gamma 90.00
loop_
_space_group_symop_operation_xyz
'x,y,z'
'-x,-y,-z'
'-x,-y,z'
'x,y,-z'
'x,-y,-z'
'-x,y,z'
'-x,y,-z'
'x,-y,z'
loop_
_atom_site_label
_atom_site_type_symbol
_atom_site_fract_x
_atom_site_fract_y
_atom_site_fract_z
Mo1 Mo 0.0000 0.0000 0.0000
Mo2 Mo 0.5000 0.5000 0.0000
Ir1 Ir 0.0000 0.5000 0.5000
Br1 Br 0.5000 0.0000 0.5000
# Formation energy (no corrections), meV/atom: 880
# Polymorph energy (0 for the lowest one), meV per atom: 493
# ρ, kg/m³: 11817
# Crystal system: orthorhombic
# E, eV per atom: -7.17

(4)
# KNa4Hg4, relaxed, DFT GGA-PBE
data_KNa4Hg4
_chemical_formula_sum 'K2 Na8 Hg8'
_space_group_name_H-M_alt 'I 4/m m m'
_space_group_IT_number 139
_space_group_name_Hall '-I 4 2'
_cell_length_a 11.1727
_cell_length_b 11.1727
_cell_length_c 4.3540
_cell_angle_alpha 90.00
_cell_angle_beta 90.00
_cell_angle_gamma 90.00
loop_
_atom_site_label
_atom_site_type_symbol
_atom_site_fract_x
_atom_site_fract_y
_atom_site_fract_z
K1 K 0.0000 0.0000 0.0000
Na1 Na 0.0000 0.3175 0.0000
Hg1 Hg 0.1830 0.1830 0.5000
# E_form, eV/f.u.: -1.73
# Polymorph energy (0 for the lowest one), meV per atom: 0
# ρ, kg/m³: 5704
# Crystal system: tetragonal
# E, eV per atom: -1.03

(5)
# VH2Os2, relaxed, DFT GGA-PBE
data_VH2Os2
_chemical_formula_sum 'V2 H4 Os4'
_space_group_name_H-M_alt 'I 4/m m m'
_space_group_IT_number 139
_space_group_name_Hall '-I 4 2'
_cell_length_a 2.8984
_cell_length_b 2.8984
_cell_length_c 11.5235
_cell_angle_alpha 90.00
_cell_angle_beta 90.00
_cell_angle_gamma 90.00
loop_
_atom_site_label
_atom_site_type_symbol
_atom_site_fract_x
_atom_site_fract_y
_atom_site_fract_z
V1 V 0.0000 0.0000 0.0000
H1 H 0.0000 0.5000 0.2500
Os1 Os 0.0000 0.0000 0.3615
# Polymorph energy (0 for the lowest one), meV per atom: 0
# ρ, kg/m³: 14869
# Crystal system: tetragonal
# E, eV per atom: -7.49

(6)
# ThScCdTc, relaxed, DFT GGA-PBE
data_ThScCdTc
_chemical_formula_sum 'Th1 Sc1 Cd1 Tc1'
_space_group_name_H-M_alt 'P 4 m m'
_space_group_IT_number 99
_cell_length_a 3.4264
_cell_length_b 3.4264
_cell_length_c 7.7483
_cell_angle_alpha 90.00
_cell_angle_beta 90.00
_cell_angle_gamma 90.00
loop_
_space_group_symop_operation_xyz
'x,y,z'
'-y,x,z'
'-x,-y,z'
'y,-x,z'
'-x,y,z'
'y,x,z'
'x,-y,z'
'-y,-x,z'
loop_
_atom_site_label
_atom_site_type_symbol
_atom_site_fract_x
_atom_site_fract_y
_atom_site_fract_z
Th1 Th 0.0000 0.0000 0.0000
Sc1 Sc 0.0000 0.0000 0.5782
Cd1 Cd 0.5000 0.5000 0.3289
Tc1 Tc 0.5000 0.5000 0.7714
# E_form, eV/f.u.: -0.85
# Polymorph energy (0 for the lowest one), meV per atom: 0
# ρ, kg/m³: 8897
# Crystal system: tetragonal
# E, eV per atom: -6.47